Entry 1:
Here is a geometry-optimized Rb2InAgF6 structure from OQMD. Energies are from GGA-PBE.

Calculated values
ΔE to the lowest computed polymorph   0.0243 eV/atom
Calculated total energy   -0.3080 Ry/atom
V   161 Å³ per cell
Symmetry   R-3, No. 148

Structure (POSCAR):
```
Rb2InAgF6
1.0
3.109 1.795 4.798
-3.109 1.795 4.798
0.000 -3.590 4.798
Ag F In Rb
1 6 1 2
Direct
0.500 0.500 0.500
0.301 0.775 0.169
0.831 0.699 0.225
0.775 0.169 0.301
0.225 0.831 0.699
0.169 0.301 0.775
0.699 0.225 0.831
0.000 0.000 0.000
0.253 0.253 0.253
0.748 0.748 0.748
```

=====

Entry 2:
Here is a geometry-optimized CsTbCdTe3 structure from OQMD. Energies are from GGA-PBE.

Calculated values
Calculated total energy   -0.2745 Ry/atom
Total moment   0.00 μB per cell
V   463 Å³ per cell
Symmetry   Cmcm, No. 63

Structure (POSCAR):
```
CsTbCdTe3
1.0
-1.711 -1.296 4.002
6.884 0.301 5.616
-2.579 11.294 2.555
Cd Cs Tb Te
2 2 2 6
Direct
0.538 0.924 0.250
0.462 0.076 0.750
0.250 0.501 0.250
0.750 0.499 0.750
0.000 0.000 0.000
0.000 0.000 0.500
0.622 0.756 0.046
0.934 0.132 0.250
0.622 0.756 0.454
0.378 0.244 0.546
0.066 0.868 0.750
0.378 0.244 0.954
```

=====

Entry 3:
Here is a geometry-optimized Dy3Mg3TlGa2 structure from OQMD. Energies are from GGA-PBE.

Calculated values
Calculated total energy   -0.2517 Ry/atom
Total moment   0.00 μB per cell
V   211 Å³ per cell
Symmetry   P-62m, No. 189

Structure (POSCAR):
```
Dy3Mg3TlGa2
1.0
-2.072 5.382 -4.538
-4.810 -2.843 4.757
1.232 3.073 3.082
Dy Ga Mg Tl
3 2 3 1
Direct
0.567 0.000 0.000
0.433 0.433 0.000
0.000 0.567 0.000
0.667 0.333 0.500
0.333 0.667 0.500
0.252 0.000 0.500
0.000 0.252 0.500
0.748 0.748 0.500
0.000 0.000 0.000
```

=====

Entry 4:
Here is a geometry-optimized Mg29Ir4 structure from OQMD. Energies are from GGA-PBE.

Calculated values
Calculated total energy   -0.1929 Ry/atom
Total moment   0.10 μB per cell
V   2016 Å³ per cell
Symmetry   F-43m, No. 216

Structure (POSCAR):
```
Mg29Ir4
1.0
0.000 10.026 10.026
10.026 0.000 10.026
10.026 10.026 0.000
Ir Mg
12 87
Direct
0.905 0.905 0.285
0.400 0.400 0.400
0.799 0.400 0.400
0.400 0.799 0.400
0.668 0.668 0.668
0.997 0.668 0.668
0.668 0.997 0.668
0.400 0.400 0.799
0.905 0.285 0.905
0.285 0.905 0.905
0.905 0.905 0.905
0.668 0.668 0.997
0.681 0.019 0.019
0.019 0.681 0.019
0.281 0.019 0.019
0.019 0.281 0.019
0.681 0.281 0.019
0.281 0.681 0.019
0.771 0.771 0.035
0.771 0.423 0.035
0.423 0.771 0.035
0.884 0.116 0.116
0.116 0.884 0.116
0.884 0.884 0.116
0.165 0.165 0.165
0.505 0.165 0.165
0.165 0.505 0.165
0.534 0.534 0.181
0.751 0.534 0.181
0.534 0.751 0.181
0.410 0.988 0.193
0.410 0.410 0.193
0.988 0.410 0.193
0.250 0.250 0.250
0.617 0.269 0.269
0.845 0.269 0.269
0.269 0.617 0.269
0.845 0.617 0.269
0.269 0.845 0.269
0.617 0.845 0.269
0.019 0.019 0.281
0.681 0.019 0.281
0.019 0.681 0.281
0.607 0.393 0.393
0.393 0.607 0.393
0.607 0.607 0.393
0.988 0.193 0.410
0.410 0.193 0.410
0.193 0.410 0.410
0.988 0.410 0.410
0.193 0.988 0.410
0.410 0.988 0.410
0.771 0.035 0.423
0.035 0.771 0.423
0.771 0.771 0.423
0.165 0.165 0.505
0.534 0.181 0.534
0.751 0.181 0.534
0.181 0.534 0.534
0.751 0.534 0.534
0.181 0.751 0.534
0.534 0.751 0.534
0.930 0.570 0.570
0.930 0.930 0.570
0.570 0.930 0.570
0.802 0.802 0.595
0.393 0.393 0.607
0.607 0.393 0.607
0.393 0.607 0.607
0.269 0.269 0.617
0.845 0.269 0.617
0.269 0.845 0.617
0.019 0.019 0.681
0.281 0.019 0.681
0.019 0.281 0.681
0.534 0.181 0.751
0.181 0.534 0.751
0.534 0.534 0.751
0.423 0.035 0.771
0.771 0.035 0.771
0.035 0.423 0.771
0.771 0.423 0.771
0.035 0.771 0.771
0.423 0.771 0.771
0.802 0.595 0.802
0.595 0.802 0.802
0.802 0.802 0.802
0.269 0.269 0.845
0.617 0.269 0.845
0.269 0.617 0.845
0.116 0.116 0.884
0.884 0.116 0.884
0.116 0.884 0.884
0.570 0.570 0.930
0.930 0.570 0.930
0.570 0.930 0.930
0.410 0.193 0.988
0.193 0.410 0.988
0.410 0.410 0.988
```

=====

The lowest calculated total energy belongs to which entry?
Rb2InAgF6